The following is a DFT calculation (GGA-PBE) of crystalline BC2 at its relaxed geometry.

```
data_BC2
_chemical_formula_sum 'B4 C8'
_symmetry_space_group_name_H-M 'P 1'
_symmetry_Int_Tables_number 1
_symmetry_space_group_name_Hall 'P 1'
_cell_length_a 4.524
_cell_length_b 4.524
_cell_length_c 4.601
_cell_angle_alpha 100.21
_cell_angle_beta 100.21
_cell_angle_gamma 119.53
loop_
_atom_site_label
_atom_site_fract_x
_atom_site_fract_y
_atom_site_fract_z
B1 0.166 0.834 0.491
B2 0.501 0.499 0.491
B3 0.330 0.663 0.012
B4 0.823 0.156 0.496
C1 0.026 0.706 0.118
C2 0.373 0.359 0.118
C3 0.219 0.552 0.627
C4 0.723 0.057 0.114
C5 0.666 0.333 0.996
C6 0.547 0.209 0.645
C7 0.000 0.999 0.996
C8 0.876 0.880 0.645
```

volume	19.17	Å³/f.u.
electronic total energy	-8.003	eV per atom
theoretical density	3.017	g/cm3

The following is a DFT calculation (GGA-PBE) of crystalline BaCuRu2 at its relaxed geometry.

```
data_BaCuRu2
_chemical_formula_sum 'Ba1 Cu1 Ru2'
_symmetry_space_group_name_H-M 'P 1'
_symmetry_Int_Tables_number 1
_symmetry_space_group_name_Hall 'P 1'
_cell_length_a 4.684
_cell_length_b 4.104
_cell_length_c 4.104
_cell_angle_alpha 90.00
_cell_angle_beta 90.00
_cell_angle_gamma 90.00
loop_
_atom_site_label
_atom_site_fract_x
_atom_site_fract_y
_atom_site_fract_z
Ba1 0.500 0.500 0.000
Cu1 0.500 0.000 0.500
Ru1 0.000 0.000 0.000
Ru2 0.000 0.500 0.500
```

volume	78.88	Å³/f.u.
electronic total energy	-5.112	eV per atom
theoretical density	8.484	g/cm3

The following is a DFT calculation (GGA-PBE) of crystalline RbFeSb2Se at its relaxed geometry.

```
data_RbFeSb2Se
_chemical_formula_sum 'Rb1 Fe1 Sb2 Se1'
_symmetry_space_group_name_H-M 'P 1'
_symmetry_Int_Tables_number 1
_symmetry_space_group_name_Hall 'P 1'
_cell_length_a 6.076
_cell_length_b 4.903
_cell_length_c 6.076
_cell_angle_alpha 90.00
_cell_angle_beta 90.00
_cell_angle_gamma 90.00
loop_
_atom_site_label
_atom_site_fract_x
_atom_site_fract_y
_atom_site_fract_z
Sb1 0.000 0.000 0.500
Sb2 0.500 0.000 0.000
Se1 0.500 0.500 0.500
Rb1 0.000 0.000 0.000
Fe1 0.000 0.500 0.000
```

volume	181.04	Å³/f.u.
electronic total energy	-2.292	eV per atom
raw formation energy	1.94	eV/atom
theoretical density	4.254	g/cm3

The following is a DFT calculation (GGA-PBE) of crystalline ZnMoBr2 at its relaxed geometry.

```
data_ZnMoBr2
_chemical_formula_sum 'Zn1 Mo1 Br2'
_symmetry_space_group_name_H-M 'P 1'
_symmetry_Int_Tables_number 1
_symmetry_space_group_name_Hall 'P 1'
_cell_length_a 9.206
_cell_length_b 9.206
_cell_length_c 9.206
_cell_angle_alpha 21.06
_cell_angle_beta 21.06
_cell_angle_gamma 21.06
loop_
_atom_site_label
_atom_site_fract_x
_atom_site_fract_y
_atom_site_fract_z
Br1 0.023 0.023 0.023
Br2 0.226 0.226 0.226
Mo1 0.498 0.498 0.498
Zn1 0.754 0.754 0.754
```

volume	88.23	Å³/f.u.
electronic total energy	-3.857	eV per atom
raw formation energy	0.01	eV/atom
theoretical density	6.045	g/cm3

The following is a DFT calculation (GGA-PBE) of crystalline Y5Tm2Bi5 at its relaxed geometry.

```
data_Y5Tm2Bi5
_chemical_formula_sum 'Y5 Tm2 Bi5'
_symmetry_space_group_name_H-M 'P 1'
_symmetry_Int_Tables_number 1
_symmetry_space_group_name_Hall 'P 1'
_cell_length_a 4.436
_cell_length_b 7.637
_cell_length_c 12.744
_cell_angle_alpha 111.06
_cell_angle_beta 90.00
_cell_angle_gamma 106.88
loop_
_atom_site_label
_atom_site_fract_x
_atom_site_fract_y
_atom_site_fract_z
Y1 0.500 0.000 0.500
Y2 0.663 0.326 0.031
Y3 0.714 0.429 0.338
Y4 0.286 0.571 0.662
Y5 0.337 0.674 0.969
Tm1 0.052 0.105 0.791
Tm2 0.948 0.895 0.209
Bi1 0.117 0.233 0.431
Bi2 0.696 0.391 0.782
Bi3 0.304 0.609 0.218
Bi4 0.883 0.767 0.569
Bi5 0.000 0.000 0.000
```

volume	382.84	Å³/f.u.
electronic total energy	-5.659	eV per atom
theoretical density	7.926	g/cm3

The following is a DFT calculation (GGA-PBE) of crystalline ZnNi2SnN at its relaxed geometry.

```
data_ZnNi2SnN
_chemical_formula_sum 'Zn1 Ni2 Sn1 N1'
_symmetry_space_group_name_H-M 'P 1'
_symmetry_Int_Tables_number 1
_symmetry_space_group_name_Hall 'P 1'
_cell_length_a 4.580
_cell_length_b 3.603
_cell_length_c 4.580
_cell_angle_alpha 90.00
_cell_angle_beta 90.00
_cell_angle_gamma 90.00
loop_
_atom_site_label
_atom_site_fract_x
_atom_site_fract_y
_atom_site_fract_z
Ni1 0.000 0.000 0.500
Ni2 0.500 0.000 0.000
Zn1 0.000 0.000 0.000
Sn1 0.500 0.500 0.500
N1 0.000 0.500 0.000
```

volume	75.56	Å³/f.u.
electronic total energy	-4.127	eV per atom
raw formation energy	0.91	eV/atom
theoretical density	6.933	g/cm3

The following is a DFT calculation (GGA-PBE) of crystalline KGa2Hg2 at its relaxed geometry.

```
data_KGa2Hg2
_chemical_formula_sum 'K1 Ga2 Hg2'
_symmetry_space_group_name_H-M 'P 1'
_symmetry_Int_Tables_number 1
_symmetry_space_group_name_Hall 'P 1'
_cell_length_a 5.169
_cell_length_b 5.169
_cell_length_c 6.226
_cell_angle_alpha 65.47
_cell_angle_beta 65.47
_cell_angle_gamma 90.00
loop_
_atom_site_label
_atom_site_fract_x
_atom_site_fract_y
_atom_site_fract_z
K1 0.000 0.000 0.000
Hg1 0.750 0.250 0.500
Hg2 0.250 0.750 0.500
Ga1 0.372 0.372 0.256
Ga2 0.628 0.628 0.744
```

volume	134.66	Å³/f.u.
electronic total energy	-1.671	eV per atom
theoretical density	7.149	g/cm3

The following is a DFT calculation (GGA-PBE) of crystalline RbMnBi at its relaxed geometry.

```
data_RbMnBi
_chemical_formula_sum 'Rb2 Mn2 Bi2'
_symmetry_space_group_name_H-M 'P 1'
_symmetry_Int_Tables_number 1
_symmetry_space_group_name_Hall 'P 1'
_cell_length_a 4.891
_cell_length_b 4.891
_cell_length_c 8.824
_cell_angle_alpha 90.00
_cell_angle_beta 90.00
_cell_angle_gamma 90.00
loop_
_atom_site_label
_atom_site_fract_x
_atom_site_fract_y
_atom_site_fract_z
Rb1 0.000 0.500 0.342
Rb2 0.500 0.000 0.658
Mn1 0.000 0.000 0.000
Mn2 0.500 0.500 0.000
Bi1 0.000 0.500 0.818
Bi2 0.500 0.000 0.182
```

volume	105.53	Å³/f.u.
electronic total energy	-4.650	eV per atom
theoretical density	5.498	g/cm3

Q: Which value of electronic total energy does entry 1 give?
A: -8.003 eV per atom

Q: Which value of theoretical density does entry 3 give?
A: 4.254 g/cm3